# 1
# CrCdIn2 (GGA-PBEsol, relaxed)
# Volume (Å³/cell): 85.1
# D(E_F) (states/eV per cell): 2.1
# Size of the total moment (Bohr magnetons per cell): 3.85
# E_form (eV per atom): 0.361
# Symmetry: R3m
data_CrCdIn2
_chemical_formula_sum 'Cr1 Cd1 In2'
_symmetry_space_group_name_H-M 'P 1'
_symmetry_Int_Tables_number 1
_cell_length_a 9.5775
_cell_length_b 9.5775
_cell_length_c 9.5775
_cell_angle_alpha 19.44
_cell_angle_beta 19.44
_cell_angle_gamma 19.44
loop_
_symmetry_equiv_pos_as_xyz
'x,y,z'
loop_
_atom_site_label
_atom_site_type_symbol
_atom_site_fract_x
_atom_site_fract_y
_atom_site_fract_z
_atom_site_occupancy
Cr1 Cr 0.0000 0.0000 0.0000 1
Cd1 Cd 0.2576 0.2576 0.2576 1
In1 In 0.5015 0.5015 0.5015 1
In2 In 0.7430 0.7430 0.7430 1


# 2
# ScAlF3 (GGA-PBEsol, relaxed)
# Volume (Å³/cell): 67.9
# D(E_F) (states/eV per cell): 3.7
# Raw formation energy (eV per atom): -1.901
# Size of the total moment (Bohr magnetons per cell): 1.71
# Symmetry: Pm-3m
data_ScAlF3
_chemical_formula_sum 'Sc1 Al1 F3'
_symmetry_space_group_name_H-M 'P 1'
_symmetry_Int_Tables_number 1
_cell_length_a 4.0788
_cell_length_b 4.0788
_cell_length_c 4.0788
_cell_angle_alpha 90.00
_cell_angle_beta 90.00
_cell_angle_gamma 90.00
loop_
_symmetry_equiv_pos_as_xyz
'x,y,z'
loop_
_atom_site_label
_atom_site_type_symbol
_atom_site_fract_x
_atom_site_fract_y
_atom_site_fract_z
_atom_site_occupancy
Sc1 Sc 0.0000 0.0000 0.0000 1
Al1 Al 0.5000 0.5000 0.5000 1
F1 F 0.0000 0.5000 0.5000 1
F2 F 0.5000 0.0000 0.5000 1
F3 F 0.5000 0.5000 0.0000 1


# 3
# NaYP2 (GGA-PBEsol, relaxed)
# Volume (Å³/cell): 160.5
# D(E_F) (states/eV per cell): 3.9
# Size of the total moment (Bohr magnetons per cell): 0.00
# Distance to the lowest polymorph of the same formula (meV/atom): 80
# E_form (eV per atom): -0.460
# Symmetry: I-42d
data_NaYP2
_chemical_formula_sum 'Na2 Y2 P4'
_symmetry_space_group_name_H-M 'P 1'
_symmetry_Int_Tables_number 1
_cell_length_a 6.0093
_cell_length_b 6.0093
_cell_length_c 6.0093
_cell_angle_alpha 103.38
_cell_angle_beta 103.38
_cell_angle_gamma 122.50
loop_
_symmetry_equiv_pos_as_xyz
'x,y,z'
loop_
_atom_site_label
_atom_site_type_symbol
_atom_site_fract_x
_atom_site_fract_y
_atom_site_fract_z
_atom_site_occupancy
Na1 Na 0.0000 0.0000 0.0000 1
Na2 Na 0.7500 0.2500 0.5000 1
Y1 Y 0.2500 0.7500 0.5000 1
Y2 Y 0.5000 0.5000 0.0000 1
P1 P 0.1213 0.6250 0.9963 1
P2 P 0.3750 0.3713 0.4963 1
P3 P 0.6287 0.1250 0.0037 1
P4 P 0.8750 0.8787 0.5037 1


# 4
# Bi8Pt5I3 (GGA-PBEsol, relaxed)
# Volume (Å³/cell): 445.6
# D(E_F) (states/eV per cell): 4.8
# Raw formation energy (eV per atom): -0.301
# Size of the total moment (Bohr magnetons per cell): 0.00
# Symmetry: C2/m
data_Bi8Pt5I3
_chemical_formula_sum 'Bi8 Pt5 I3'
_symmetry_space_group_name_H-M 'P 1'
_symmetry_Int_Tables_number 1
_cell_length_a 9.3761
_cell_length_b 9.3761
_cell_length_c 13.3580
_cell_angle_alpha 112.09
_cell_angle_beta 112.09
_cell_angle_gamma 24.27
loop_
_symmetry_equiv_pos_as_xyz
'x,y,z'
loop_
_atom_site_label
_atom_site_type_symbol
_atom_site_fract_x
_atom_site_fract_y
_atom_site_fract_z
_atom_site_occupancy
Bi1 Bi 0.0172 0.0172 0.2827 1
Bi2 Bi 0.1775 0.1775 0.2294 1
Bi3 Bi 0.1832 0.1832 0.5318 1
Bi4 Bi 0.3954 0.3954 0.0229 1
Bi5 Bi 0.6046 0.6046 0.9771 1
Bi6 Bi 0.8168 0.8168 0.4682 1
Bi7 Bi 0.8225 0.8225 0.7706 1
Bi8 Bi 0.9828 0.9828 0.7173 1
Pt1 Pt 0.0000 0.0000 0.0000 1
Pt2 Pt 0.3486 0.3486 0.6259 1
Pt3 Pt 0.4452 0.4452 0.8425 1
Pt4 Pt 0.5548 0.5548 0.1575 1
Pt5 Pt 0.6514 0.6514 0.3741 1
I1 I 0.1866 0.1866 0.8303 1
I2 I 0.5000 0.5000 0.5000 1
I3 I 0.8134 0.8134 0.1697 1


# 5
# BeReAs2Br (GGA-PBEsol, relaxed)
# Volume (Å³/cell): 85.1
# D(E_F) (states/eV per cell): 4.0
# Raw formation energy (eV per atom): 1.232
# Size of the total moment (Bohr magnetons per cell): 1.55
# Symmetry: P4/mmm
data_BeReAs2Br
_chemical_formula_sum 'Be1 Re1 As2 Br1'
_symmetry_space_group_name_H-M 'P 1'
_symmetry_Int_Tables_number 1
_cell_length_a 4.2937
_cell_length_b 4.2937
_cell_length_c 4.6153
_cell_angle_alpha 90.00
_cell_angle_beta 90.00
_cell_angle_gamma 90.00
loop_
_symmetry_equiv_pos_as_xyz
'x,y,z'
loop_
_atom_site_label
_atom_site_type_symbol
_atom_site_fract_x
_atom_site_fract_y
_atom_site_fract_z
_atom_site_occupancy
Be1 Be 0.0000 0.0000 0.0000 1
Re1 Re 0.5000 0.5000 0.5000 1
As1 As 0.0000 0.5000 0.0000 1
As2 As 0.5000 0.0000 0.0000 1
Br1 Br 0.0000 0.0000 0.5000 1


# 6
# ZrZn2Se (GGA-PBEsol, relaxed)
# Volume (Å³/cell): 67.6
# D(E_F) (states/eV per cell): 1.9
# Raw formation energy (eV per atom): -0.357
# Size of the total moment (Bohr magnetons per cell): 0.00
# Symmetry: P4/mmm
data_ZrZn2Se
_chemical_formula_sum 'Zr1 Zn2 Se1'
_symmetry_space_group_name_H-M 'P 1'
_symmetry_Int_Tables_number 1
_cell_length_a 3.8586
_cell_length_b 3.8586
_cell_length_c 4.5423
_cell_angle_alpha 90.00
_cell_angle_beta 90.00
_cell_angle_gamma 90.00
loop_
_symmetry_equiv_pos_as_xyz
'x,y,z'
loop_
_atom_site_label
_atom_site_type_symbol
_atom_site_fract_x
_atom_site_fract_y
_atom_site_fract_z
_atom_site_occupancy
Zr1 Zr 0.0000 0.0000 0.0000 1
Zn1 Zn 0.0000 0.5000 0.5000 1
Zn2 Zn 0.5000 0.0000 0.5000 1
Se1 Se 0.5000 0.5000 0.0000 1


Please write out number 5 again, unchanged.
# BeReAs2Br (GGA-PBEsol, relaxed)
# Volume (Å³/cell): 85.1
# D(E_F) (states/eV per cell): 4.0
# Raw formation energy (eV per atom): 1.232
# Size of the total moment (Bohr magnetons per cell): 1.55
# Symmetry: P4/mmm
data_BeReAs2Br
_chemical_formula_sum 'Be1 Re1 As2 Br1'
_symmetry_space_group_name_H-M 'P 1'
_symmetry_Int_Tables_number 1
_cell_length_a 4.2937
_cell_length_b 4.2937
_cell_length_c 4.6153
_cell_angle_alpha 90.00
_cell_angle_beta 90.00
_cell_angle_gamma 90.00
loop_
_symmetry_equiv_pos_as_xyz
'x,y,z'
loop_
_atom_site_label
_atom_site_type_symbol
_atom_site_fract_x
_atom_site_fract_y
_atom_site_fract_z
_atom_site_occupancy
Be1 Be 0.0000 0.0000 0.0000 1
Re1 Re 0.5000 0.5000 0.5000 1
As1 As 0.0000 0.5000 0.0000 1
As2 As 0.5000 0.0000 0.0000 1
Br1 Br 0.0000 0.0000 0.5000 1


Q: Number 3 is which compound?
A: NaYP2


Q: Look up the D(E_F) of the second one.
A: 3.7 states/eV per cell